Density functional theory data (PBE) for a relaxed ZnFePt4 crystal.

## Properties
ΔE to the lowest computed polymorph = 0.000 eV per atom
Size of the total moment = 0.60 μB/atom
Crystal system = tetragonal
Energy = -5.9740 eV/atom

Unit cell a=2.7724 b=2.7724 c=11.5290 alpha=90.00 beta=90.00 gamma=90.00
With the nearest neighbours (Å) after each atom.
Space group P4/mmm (No. 123)
Symmetry-distinct sites (fractional):
Zn: 0.0000 0.0000 0.0000 x1  8 Pt 2.69, 4 Zn 2.77
Fe: 0.5000 0.5000 0.5000 x1  8 Pt 2.67, 4 Fe 2.77
Pt: 0.0000 0.0000 0.3431 x2  4 Fe 2.67, 8 Pt 2.77-2.88
Pt: 0.5000 0.5000 0.1601 x2  4 Zn 2.69, 8 Pt 2.77-2.88